A relaxed TlOs2Pb crystal, computed with PBE.

Structure (extended XYZ):
```
4
Lattice="-3.3172 4.0417 1.4518 -2.6229 2.5745 3.9924 2.1348 7.2145 3.5828" Properties=species:S:1:pos:R:3 pbc="T T T"
Os -3.8952 12.8834 8.5046
Os -1.8128 7.8625 5.0360
Pb -2.8540 10.3730 6.7703
Tl -0.9513 3.4577 2.2568
```

Output
**E above lowest polymorph**: 0.467 eV/atom
**Spin magnetization**: 0.00 μB per formula unit
**Calculated volume**: 25.48 Å³ per atom
**DFT formation energy**: 97.73 kJ per mole of atoms
**Space group**: No. 12
**Electronic total energy**: -24.48 eV for the cell shown

A relaxed Tl2OsPb crystal, computed with PBE.

Structure (extended XYZ):
```
4
Lattice="4.3262 0.0000 0.0000 0.0000 5.9009 0.3137 0.0000 3.4147 4.9455" Properties=species:S:1:pos:R:3 pbc="T T T"
Os 2.1631 2.3289 1.3148
Pb 2.1631 6.9867 3.9444
Tl 0.0000 0.8397 0.4594
Tl 0.0000 3.8181 2.1702
```

Output
**E above lowest polymorph**: 0.155 eV/atom
**Spin magnetization**: 0.00 μB per formula unit
**Calculated volume**: 30.40 Å³ per atom
**DFT formation energy**: 68.94 kJ per mole of atoms
**Space group**: No. 10
**Electronic total energy**: -16.81 eV for the cell shown

A relaxed Tl2OsPb crystal, computed with PBE.

Structure (extended XYZ):
```
4
Lattice="10.9013 0.0181 0.0106 10.4142 3.2222 0.0106 10.4142 1.5831 2.8065" Properties=species:S:1:pos:R:3 pbc="T T T"
Os 7.9324 1.2058 0.7069
Pb 23.7973 3.6175 2.1208
Tl 31.2608 4.7521 2.7859
Tl 16.3338 2.4830 1.4556
```

Output
**E above lowest polymorph**: 0.171 eV/atom
**Spin magnetization**: 0.00 μB per formula unit
**Calculated volume**: 24.42 Å³ per atom
**DFT formation energy**: 70.46 kJ per mole of atoms
**Space group**: No. 166
**Electronic total energy**: -16.75 eV for the cell shown

A relaxed TlOsPb crystal, computed with PBE.

Structure (extended XYZ):
```
3
Lattice="8.3778 -0.0093 0.0065 7.5882 3.0191 0.0523 0.7896 -0.9895 2.8626" Properties=species:S:1:pos:R:3 pbc="T T T"
Os 15.9153 2.9964 0.0682
Pb 6.3044 0.4638 1.8438
Tl 10.5019 1.5699 1.0683
```

Output
**E above lowest polymorph**: 0.093 eV/atom
**Spin magnetization**: 0.00 μB per formula unit
**Calculated volume**: 24.33 Å³ per atom
**DFT formation energy**: 86.01 kJ per mole of atoms
**Space group**: No. 42
**Electronic total energy**: -14.63 eV for the cell shown

A relaxed Tl2OsPb crystal, computed with PBE.

Structure (extended XYZ):
```
4
Lattice="5.6678 0.0071 0.0000 -1.8117 5.3704 0.0000 0.0000 0.0000 3.1472" Properties=species:S:1:pos:R:3 pbc="T T T"
Os 2.8339 0.0035 1.5736
Pb -0.9059 2.6852 1.5736
Tl 0.0000 0.0000 0.0000
Tl 1.9280 2.6888 0.0000
```

Output
**E above lowest polymorph**: 0.440 eV/atom
**Spin magnetization**: 1.56 μB per formula unit
**Calculated volume**: 23.96 Å³ per atom
**DFT formation energy**: 96.43 kJ per mole of atoms
**Space group**: No. 65
**Electronic total energy**: -15.67 eV for the cell shown

A relaxed Tl2OsPb crystal, computed with PBE.

Structure (extended XYZ):
```
8
Lattice="4.2280 0.0000 0.0000 0.0000 4.2280 0.0000 2.1140 2.1140 10.9788" Properties=species:S:1:pos:R:3 pbc="T T T"
Pb 0.0000 0.0000 0.0000
Pb 4.2280 2.1140 5.4894
Tl 3.1240 1.0570 2.7447
Tl 1.1040 3.1710 2.7447
Tl 3.1710 3.2180 8.2341
Tl 5.2850 5.2380 8.2341
Os 2.1140 2.1140 0.0000
Os 2.1140 4.2280 5.4894
```

Output
**E above lowest polymorph**: 0.428 eV/atom
**Spin magnetization**: 0.00 μB per formula unit
**Calculated volume**: 24.53 Å³ per atom
**DFT formation energy**: 95.27 kJ per mole of atoms
**Space group**: No. 122
**Electronic total energy**: -31.44 eV for the cell shown